[1]
CaY2BeO5 | GGA-PBE | optimized geometry

abc: 9.293 6.371 6.982
angles: 90.00 90.00 90.00
Fractional coordinates of all 36 atoms:
Ca  0.176  0.080  0.000
Ca  0.324  0.580  0.500
Ca  0.676  0.420  0.000
Ca  0.824  0.920  0.500
Y  0.021  0.596  0.764
Y  0.174  0.069  0.545
Y  0.326  0.569  0.045
Y  0.479  0.096  0.264
Y  0.521  0.904  0.764
Y  0.674  0.431  0.545
Y  0.826  0.931  0.045
Y  0.979  0.404  0.264
Be  0.104  0.805  0.266
Be  0.396  0.305  0.766
Be  0.604  0.695  0.266
Be  0.896  0.195  0.766
O  0.010  0.022  0.268
O  0.073  0.692  0.465
O  0.074  0.680  0.071
O  0.219  0.362  0.767
O  0.222  0.335  0.266
O  0.278  0.835  0.766
O  0.281  0.862  0.267
O  0.426  0.180  0.571
O  0.427  0.192  0.965
O  0.490  0.522  0.768
O  0.510  0.478  0.268
O  0.573  0.808  0.465
O  0.574  0.820  0.071
O  0.719  0.138  0.767
O  0.722  0.165  0.266
O  0.778  0.665  0.766
O  0.781  0.638  0.267
O  0.926  0.320  0.571
O  0.927  0.308  0.965
O  0.990  0.978  0.768

The uncorrected formation energy is -3.1918 eV/atom. The density of states at the Fermi level comes out at 0.00 states/eV per cell.



[2]
CaBeZn2O4 | GGA-PBE | optimized geometry

abc: 4.897 4.897 7.628
angles: 90.00 90.00 90.00
Fractional coordinates of all 16 atoms:
Ca  0.000  0.000  0.000
Ca  0.500  0.500  0.500
Be  0.000  0.000  0.500
Be  0.500  0.500  0.000
Zn  0.000  0.500  0.250
Zn  0.000  0.500  0.750
Zn  0.500  0.000  0.250
Zn  0.500  0.000  0.750
O  0.200  0.200  0.376
O  0.200  0.800  0.624
O  0.300  0.300  0.876
O  0.300  0.700  0.124
O  0.700  0.300  0.124
O  0.700  0.700  0.876
O  0.800  0.200  0.624
O  0.800  0.800  0.376

The uncorrected formation energy is -2.0614 eV/atom. The density of states at the Fermi level comes out at 0.00 states/eV per cell.



[3]
Ca2BeZnO | GGA-PBE | optimized geometry

abc: 5.123 5.123 3.398
angles: 90.00 90.00 90.00
Fractional coordinates of all 5 atoms:
Ca  0.000  0.500  0.000
Ca  0.500  0.000  0.000
Be  0.000  0.000  0.500
Zn  0.500  0.500  0.500
O  0.000  0.000  0.000

The uncorrected formation energy is -0.9015 eV/atom. The density of states at the Fermi level comes out at 2.48 states/eV per cell.



Please write out number 3 again, unchanged.
Ca2BeZnO | GGA-PBE | optimized geometry

abc: 5.123 5.123 3.398
angles: 90.00 90.00 90.00
Fractional coordinates of all 5 atoms:
Ca  0.000  0.500  0.000
Ca  0.500  0.000  0.000
Be  0.000  0.000  0.500
Zn  0.500  0.500  0.500
O  0.000  0.000  0.000

The uncorrected formation energy is -0.9015 eV/atom. The density of states at the Fermi level comes out at 2.48 states/eV per cell.